Computed, not measured: a relaxed structure of MnOs2PbSe at the GGA-PBE level of DFT.

a = 4.5073 Å, b = 5.0266 Å, c = 4.5073 Å
α = 90.00°, β = 90.00°, γ = 90.00°
Closest atoms and distances in Å follow each position.
Sites, in units of the cell vectors:
Pb 0.0000 0.5000 0.0000  2 Mn 2.51
Mn 0.0000 0.0000 0.0000  4 Os 2.25, 2 Pb 2.51
Os 0.0000 0.0000 0.5000  2 Mn 2.25
Os 0.5000 0.0000 0.0000  2 Mn 2.25
Se 0.5000 0.5000 0.5000  4 Pb 3.19, 8 Os 3.38

Total energy = -6.273 eV/atom

=====

Computed, not measured: a relaxed structure of TiMn2OsPb at the GGA-PBE level of DFT.

a = 4.6332 Å, b = 4.9600 Å, c = 4.6332 Å
α = 90.00°, β = 90.00°, γ = 90.00°
Closest atoms and distances in Å follow each position.
Sites, in units of the cell vectors:
Pb 0.0000 0.0000 0.0000  4 Mn 2.32, 2 Ti 2.48
Mn 0.0000 0.0000 0.5000  2 Pb 2.32
Mn 0.5000 0.0000 0.0000  2 Pb 2.32
Os 0.5000 0.5000 0.5000  4 Ti 3.28, 8 Mn 3.39
Ti 0.0000 0.5000 0.0000  2 Pb 2.48

Formation energy from the elements = 2.536 eV per atom

=====

Computed, not measured: a relaxed structure of Mn2Os2Pd at the GGA-PBE level of DFT.

a = 7.2210 Å, b = 7.2210 Å, c = 2.6551 Å
α = 90.00°, β = 90.00°, γ = 90.00°
Closest atoms and distances in Å follow each position.
Sites, in units of the cell vectors:
Mn 0.1641 0.6641 0.5000  6 Os 2.50-2.51, 2 Mn 2.66
Mn 0.6641 0.8359 0.5000  6 Os 2.50-2.51, 2 Mn 2.66
Mn 0.8359 0.3359 0.5000  6 Os 2.50-2.51, 2 Mn 2.66
Mn 0.3359 0.1641 0.5000  6 Os 2.50-2.51, 2 Mn 2.66
Os 0.3709 0.8709 0.0000  6 Mn 2.50-2.51, 3 Os 2.64-2.66
Os 0.8709 0.6291 0.0000  6 Mn 2.50-2.51, 3 Os 2.64-2.66
Os 0.6291 0.1291 0.0000  6 Mn 2.50-2.51, 3 Os 2.64-2.66
Os 0.1291 0.3709 0.0000  6 Mn 2.50-2.51, 3 Os 2.64-2.66
Pd 0.0000 0.0000 0.0000  2 Pd 2.66, 4 Os 2.84
Pd 0.5000 0.5000 0.0000  2 Pd 2.66, 4 Os 2.84

Energy above the lowest structure with this stoichiometry = 31 meV per atom
Formation energy from the elements = 0.204 eV per atom

=====

Computed, not measured: a relaxed structure of Mn2Os2Pd at the GGA-PBE level of DFT.

a = 7.1245 Å, b = 7.1245 Å, c = 2.6675 Å
α = 90.00°, β = 90.00°, γ = 90.00°
Closest atoms and distances in Å follow each position.
Sites, in units of the cell vectors:
Mn 0.3767 0.8767 0.0000  6 Os 2.48-2.50, 3 Mn 2.48-2.67
Mn 0.8767 0.6233 0.0000  6 Os 2.48-2.50, 3 Mn 2.48-2.67
Mn 0.6233 0.1233 0.0000  6 Os 2.48-2.50, 3 Mn 2.48-2.67
Mn 0.1233 0.3767 0.0000  6 Os 2.48-2.50, 3 Mn 2.48-2.67
Os 0.1670 0.6670 0.5000  6 Mn 2.48-2.50, 2 Os 2.67
Os 0.6670 0.8330 0.5000  6 Mn 2.48-2.50, 2 Os 2.67
Os 0.8330 0.3330 0.5000  6 Mn 2.48-2.50, 2 Os 2.67
Os 0.3330 0.1670 0.5000  6 Mn 2.48-2.50, 2 Os 2.67
Pd 0.0000 0.0000 0.0000  2 Pd 2.67, 4 Mn 2.82, 8 Os 2.97
Pd 0.5000 0.5000 0.0000  2 Pd 2.67, 4 Mn 2.82, 8 Os 2.97

Energy above the lowest structure with this stoichiometry = 0 meV per atom
Formation energy from the elements = 0.172 eV per atom

=====

Computed, not measured: a relaxed structure of Mn4OsPd at the GGA-PBE level of DFT.

a = 4.6970 Å, b = 4.6970 Å, c = 4.6970 Å
α = 60.00°, β = 60.00°, γ = 60.00°
Closest atoms and distances in Å follow each position.
Sites, in units of the cell vectors:
Mn 0.6256 0.6256 0.1231  6 Mn 2.34-2.36
Mn 0.6256 0.1231 0.6256  6 Mn 2.34-2.36
Mn 0.6256 0.6256 0.6256  6 Mn 2.34-2.36
Mn 0.1231 0.6256 0.6256  6 Mn 2.34-2.36
Os 0.2500 0.2500 0.2500  12 Mn 2.76, 4 Pd 2.88
Pd 0.0000 0.0000 0.0000  12 Mn 2.75, 4 Os 2.88

Formation energy from the elements = 0.109 eV per atom

=====

Computed, not measured: a relaxed structure of MnOsPd3 at the GGA-PBE level of DFT.

a = 4.4331 Å, b = 4.4331 Å, c = 4.4331 Å
α = 90.00°, β = 90.00°, γ = 90.00°
Closest atoms and distances in Å follow each position.
Sites, in units of the cell vectors:
Mn 0.0000 0.0000 0.0000  6 Pd 2.22
Os 0.5000 0.5000 0.5000  12 Pd 3.13
Pd 0.0000 0.5000 0.0000  2 Mn 2.22
Pd 0.0000 0.0000 0.5000  2 Mn 2.22
Pd 0.5000 0.0000 0.0000  2 Mn 2.22

Energy above the lowest structure with this stoichiometry = 298 meV per atom
Formation energy from the elements = 1.641 eV per atom

=====

Computed, not measured: a relaxed structure of MnOsPd at the GGA-PBE level of DFT.

a = 4.7761 Å, b = 4.7722 Å, c = 9.3341 Å
α = 132.67°, β = 120.59°, γ = 33.40°
Closest atoms and distances in Å follow each position.
Sites, in units of the cell vectors:
Os 0.3557 0.1619 0.6355  2 Mn 2.67, 4 Os 2.73-2.74, 6 Pd 2.74-2.82
Os 0.6854 0.1816 0.9791  5 Mn 2.63-2.74, 4 Os 2.73-2.74, 3 Pd 2.75-2.78
Mn 0.0208 0.1671 0.3045  4 Os 2.63-2.67, 3 Pd 2.65-2.72, 5 Mn 2.73-2.81
Mn 0.3544 0.1403 0.1254  4 Pd 2.63, 3 Os 2.64-2.74, 5 Mn 2.73-2.81
Pd 0.6995 0.1399 0.4530  5 Mn 2.63-2.72, 4 Pd 2.74-2.78, 3 Os 2.76-2.82
Pd 0.0220 0.1616 0.8023  2 Mn 2.63, 6 Os 2.74-2.78, 4 Pd 2.74-2.78

Formation energy from the elements = 0.185 eV per atom

=====

Computed, not measured: a relaxed structure of MnOsPd3 at the GGA-PBE level of DFT.

a = 4.8071 Å, b = 4.8071 Å, c = 4.8071 Å
α = 90.00°, β = 90.00°, γ = 90.00°
Closest atoms and distances in Å follow each position.
Sites, in units of the cell vectors:
Mn 0.5000 0.5000 0.5000  12 Pd 3.40
Os 0.0000 0.0000 0.0000  6 Pd 2.40
Pd 0.0000 0.5000 0.0000  2 Os 2.40
Pd 0.0000 0.0000 0.5000  2 Os 2.40
Pd 0.5000 0.0000 0.0000  2 Os 2.40

Energy above the lowest structure with this stoichiometry = 0 meV per atom
Formation energy from the elements = 1.343 eV per atom

=====

Computed, not measured: a relaxed structure of MnOsPd2 at the GGA-PBE level of DFT.

a = 3.6450 Å, b = 3.6450 Å, c = 9.3922 Å
α = 78.81°, β = 78.81°, γ = 90.00°
Closest atoms and distances in Å follow each position.
Sites, in units of the cell vectors:
Mn 0.5000 0.5000 0.0000  4 Os 2.58, 4 Pd 2.60
Mn 0.2500 0.7500 0.5000  4 Os 2.58, 4 Pd 2.60
Os 0.0000 0.0000 0.0000  4 Mn 2.58, 4 Pd 2.60
Os 0.7500 0.2500 0.5000  4 Mn 2.58, 4 Pd 2.60
Pd 0.6217 0.1250 0.2500  4 Pd 2.56-2.59, 2 Mn 2.60, 2 Os 2.60
Pd 0.1283 0.6250 0.2500  4 Pd 2.56-2.59, 2 Mn 2.60, 2 Os 2.60
Pd 0.3750 0.3783 0.7500  4 Pd 2.56-2.59, 2 Mn 2.60, 2 Os 2.60
Pd 0.8750 0.8717 0.7500  4 Pd 2.56-2.59, 2 Mn 2.60, 2 Os 2.60

Energy above the lowest structure with this stoichiometry = 25 meV per atom
Formation energy from the elements = 0.690 eV per atom

=====

Computed, not measured: a relaxed structure of Mn2Os4Pd at the GGA-PBE level of DFT.

a = 4.6480 Å, b = 4.6480 Å, c = 6.8865 Å
α = 70.28°, β = 70.28°, γ = 90.00°
Closest atoms and distances in Å follow each position.
Sites, in units of the cell vectors:
Mn 0.6043 0.6043 0.7914  1 Os 2.16
Mn 0.3957 0.3957 0.2086  1 Os 2.16
Os 0.7824 0.7824 0.4353  1 Mn 2.16
Os 0.2176 0.2176 0.5647  1 Mn 2.16
Os 0.0000 0.5000 0.0000  2 Pd 2.32
Os 0.5000 0.0000 0.0000  2 Pd 2.32
Pd 0.0000 0.0000 0.0000  4 Os 2.32

Formation energy from the elements = 2.102 eV per atom

=====

Computed, not measured: a relaxed structure of MnOsPd2 at the GGA-PBE level of DFT.

a = 4.3213 Å, b = 4.3213 Å, c = 4.3213 Å
α = 60.00°, β = 60.00°, γ = 60.00°
Closest atoms and distances in Å follow each position.
Sites, in units of the cell vectors:
Mn 0.0000 0.0000 0.0000  8 Pd 2.65
Os 0.5000 0.5000 0.5000  8 Pd 2.65
Pd 0.2500 0.2500 0.2500  4 Os 2.65, 4 Mn 2.65
Pd 0.7500 0.7500 0.7500  4 Os 2.65, 4 Mn 2.65

Energy above the lowest structure with this stoichiometry = 0 meV per atom
Formation energy from the elements = 0.665 eV per atom

=====

Computed, not measured: a relaxed structure of MnOsPd2Pt at the GGA-PBE level of DFT.

a = 4.8550 Å, b = 4.6149 Å, c = 4.8550 Å
α = 90.00°, β = 90.00°, γ = 90.00°
Closest atoms and distances in Å follow each position.
Sites, in units of the cell vectors:
Mn 0.0000 0.5000 0.0000  2 Pt 2.31
Os 0.5000 0.5000 0.5000  8 Pd 3.35, 4 Mn 3.43
Pd 0.0000 0.0000 0.5000  2 Pt 2.43
Pd 0.5000 0.0000 0.0000  2 Pt 2.43
Pt 0.0000 0.0000 0.0000  2 Mn 2.31, 4 Pd 2.43

Formation energy from the elements = 1.743 eV per atom